[1]
Material: TcSO3
Method: DFT, PBE
State: optimized geometry

abc: 3.7660 6.9683 9.1896
angles: 110.88 99.15 57.29
Closest atoms and distances in Å follow each position.
Element x y z (fractional)
O1 0.2145 0.0614 0.3772  1 Tc 1.83
O2 0.6794 0.7127 0.6773  1 Tc 1.83
Tc1 0.4299 0.9176 0.5622  4 O 1.83-1.88
O3 0.4371 0.3865 0.5005  2 Tc 1.88
O4 0.1536 0.2385 0.6773  1 Tc 1.83
O5 0.9309 0.9134 0.5539  2 Tc 1.88
Tc2 0.9382 0.3823 0.4922  4 O 1.83-1.88
S1 0.3986 0.6172 0.9614  1 S 1.93
O6 0.6887 0.5872 0.3771  1 Tc 1.83
S2 0.9698 0.6823 0.0933  1 S 1.93

---

[2]
Material: LiSn2Sb
Method: DFT, PBE
State: optimized geometry

abc: 3.8423 3.8423 6.7627
angles: 90.00 90.00 90.00
Closest atoms and distances in Å follow each position.
Element x y z (fractional)
Sn1 0.0000 0.0000 0.7368  4 Li 3.15, 1 Sn 3.20, 4 Sb 3.25
Li1 0.5000 0.5000 0.5000  8 Sn 3.15, 2 Sb 3.38
Sb1 0.5000 0.5000 0.0000  8 Sn 3.25, 2 Li 3.38
Sn2 0.0000 0.0000 0.2632  4 Li 3.15, 1 Sn 3.20, 4 Sb 3.25

Properties
Energy above the lowest structure with this stoichiometry = 88 meV/atom

---

[3]
Material: ZrNiB2Ru
Method: DFT, PBE
State: optimized geometry

abc: 4.3479 4.8551 4.3479
angles: 90.00 90.00 90.00
Closest atoms and distances in Å follow each position.
Element x y z (fractional)
Ru1 0.0000 0.5000 0.0000  2 Zr 2.43
B1 0.5000 0.0000 0.0000  2 Zr 2.17
Ni1 0.5000 0.5000 0.5000  4 Ru 3.07, 8 B 3.26
Zr1 0.0000 0.0000 0.0000  4 B 2.17, 2 Ru 2.43
B2 0.0000 0.0000 0.5000  2 Zr 2.17

Properties
Energy above the lowest structure with this stoichiometry = 1273 meV/atom
Energy relative to the elements = 2.10 eV/atom

---

[4]
Material: Pr2Y4Ho3
Method: DFT, PBE
State: optimized geometry

abc: 6.1727 11.3361 11.3361
angles: 62.02 62.19 62.19
Closest atoms and distances in Å follow each position.
Element x y z (fractional)
Pr1 0.0788 0.4761 0.7678  4 Y 3.30-3.63, 4 Ho 3.46-3.52
Y1 0.0820 0.1481 0.4211  1 Y 3.37, 4 Ho 3.37-3.56, 3 Pr 3.44-3.63
Ho1 0.2355 0.9336 0.7365  6 Y 3.37-3.56, 2 Pr 3.46-3.52
Y2 0.5820 0.4211 0.1481  1 Y 3.37, 4 Ho 3.37-3.56, 3 Pr 3.44-3.63
Ho2 0.2645 0.2635 0.0664  6 Y 3.37-3.56, 2 Pr 3.46-3.52
Y3 0.4180 0.5789 0.8519  1 Y 3.37, 4 Ho 3.37-3.56, 3 Pr 3.44-3.63
Y4 0.5794 0.0929 0.8128  1 Pr 3.30, 4 Ho 3.40-3.53, 3 Y 3.43-3.62
Pr2 0.4212 0.2322 0.5239  4 Y 3.30-3.63, 4 Ho 3.46-3.52
Y5 0.0794 0.8128 0.0929  1 Pr 3.30, 4 Ho 3.40-3.53, 3 Y 3.43-3.62
Ho3 0.7500 0.4033 0.5967  4 Pr 3.47-3.52, 4 Y 3.53-3.55, 2 Ho 3.82
Y6 0.9180 0.8519 0.5789  1 Y 3.37, 4 Ho 3.37-3.56, 3 Pr 3.44-3.63
Pr3 0.9212 0.5239 0.2322  4 Y 3.30-3.63, 4 Ho 3.46-3.52
Ho4 0.7355 0.7365 0.9336  6 Y 3.37-3.56, 2 Pr 3.46-3.52
Ho5 0.2500 0.5967 0.4033  4 Pr 3.47-3.52, 4 Y 3.53-3.55, 2 Ho 3.82
Y7 0.9206 0.1872 0.9071  1 Pr 3.30, 4 Ho 3.40-3.53, 3 Y 3.43-3.62
Pr4 0.5788 0.7678 0.4761  4 Y 3.30-3.63, 4 Ho 3.46-3.52
Y8 0.4206 0.9071 0.1872  1 Pr 3.30, 4 Ho 3.40-3.53, 3 Y 3.43-3.62
Ho6 0.7645 0.0664 0.2635  6 Y 3.37-3.56, 2 Pr 3.46-3.52

Properties
Energy relative to the elements = 0.09 eV/atom

---

[5]
Material: Li2LaAsN
Method: DFT, PBE
State: optimized geometry

abc: 6.1878 6.1878 6.3958
angles: 118.93 118.93 90.00
Closest atoms and distances in Å follow each position.
Element x y z (fractional)
La1 0.7500 0.7500 0.5001  2 N 2.33
Li1 0.6778 0.1778 0.0001  2 N 2.28
As1 0.2501 0.7501 0.5002  4 Li 2.80, 4 La 3.09
N1 0.0000 0.0000 0.0001  4 Li 2.28, 2 La 2.33
N2 0.5000 0.5000 0.0001  4 Li 2.28, 2 La 2.33
Li2 0.1778 0.3223 0.0001  2 N 2.28
Li3 0.3223 0.8223 0.0001  2 N 2.28
As2 0.7501 0.2501 0.5002  4 Li 2.80, 4 La 3.09
Li4 0.8223 0.6778 0.0001  2 N 2.28
La2 0.2500 0.2500 0.5001  2 N 2.33

Properties
Energy above the lowest structure with this stoichiometry = 0 meV/atom

---

[6]
Material: CdCoPt
Method: DFT, PBE
State: optimized geometry

abc: 5.0943 5.0943 5.0943
angles: 147.72 137.46 54.39
Closest atoms and distances in Å follow each position.
Element x y z (fractional)
Co1 0.3160 0.3160 0.0000  4 Pt 2.61, 2 Co 2.83, 5 Cd 2.85-2.88
Pt1 0.6860 0.6860 0.0000  4 Co 2.61, 5 Cd 2.83-2.88, 2 Pt 2.83
Cd1 0.9980 0.9980 0.0000  5 Pt 2.83-2.88, 2 Cd 2.83, 5 Co 2.85-2.88

Properties
Energy above the lowest structure with this stoichiometry = 93 meV/atom
Energy relative to the elements = 0.03 eV/atom

---

| no. | total DFT energy (no corrections) (eV/atom) | calculated density (g/cm3) |
| --- | --- | --- |
| 1 | -6.732 | 3.12 |
| 2 | -3.563 | 6.09 |
| 3 | -5.291 | 4.93 |
| 4 | -5.370 | 6.40 |
| 5 | -5.117 | 4.49 |
| 6 | -4.652 | 12.83 |